[1]
# AlZnTe, relaxed, DFT PBE
data_AlZnTe
_chemical_formula_sum 'Al4 Zn4 Te4'
_space_group_name_H-M_alt 'F m m 2'
_space_group_IT_number 42
_space_group_name_Hall 'F 2 -2'
_cell_length_a 4.185
_cell_length_b 5.445
_cell_length_c 11.664
_cell_angle_alpha 90.00
_cell_angle_beta 90.00
_cell_angle_gamma 90.00
loop_
_atom_site_label
_atom_site_fract_x
_atom_site_fract_y
_atom_site_fract_z
Al1 0.000 0.000 0.000
Zn1 0.000 0.000 0.360
Te1 0.000 0.000 0.673
# Formation energy (no corrections)   4.06 kcal/mol of atoms
# ΔE to the lowest computed polymorph   0.63 eV/f.u.
# Fermi-level density of states   2.70 states/eV per cell

[2]
# SrTmZn2Ag5, relaxed, DFT PBE
data_SrTmZn2Ag5
_chemical_formula_sum 'Sr1 Tm1 Zn2 Ag5'
_space_group_name_H-M_alt 'P 4/m m m'
_space_group_IT_number 123
_space_group_name_Hall '-P 4 2'
_cell_length_a 4.483
_cell_length_b 4.483
_cell_length_c 9.537
_cell_angle_alpha 90.00
_cell_angle_beta 90.00
_cell_angle_gamma 90.00
loop_
_atom_site_label
_atom_site_fract_x
_atom_site_fract_y
_atom_site_fract_z
Sr1 0.000 0.000 0.000
Tm1 0.000 0.000 0.500
Zn1 0.500 0.500 0.375
Ag1 0.000 0.500 0.240
Ag2 0.500 0.500 0.000
# Energy relative to the elements   -0.11 eV per atom
# Fermi-level density of states   2.11 states/eV per cell

[3]
# Tb2Sm3TmS6, relaxed, DFT PBE
data_Tb2Sm3TmS6
_chemical_formula_sum 'Tb4 Sm6 Tm2 S12'
_space_group_name_H-M_alt 'C 1 2/m 1'
_space_group_IT_number 12
_cell_length_a 6.817
_cell_length_b 11.852
_cell_length_c 6.878
_cell_angle_alpha 90.00
_cell_angle_beta 109.35
_cell_angle_gamma 90.00
loop_
_space_group_symop_operation_xyz
'x,y,z'
'-x,-y,-z'
'-x,y,-z'
'x,-y,z'
'x+1/2,y+1/2,z'
'-x+1/2,-y+1/2,-z'
'-x+1/2,y+1/2,-z'
'x+1/2,-y+1/2,z'
loop_
_atom_site_label
_atom_site_fract_x
_atom_site_fract_y
_atom_site_fract_z
Tb1 0.000 0.167 0.000
Sm1 0.000 0.000 0.500
Sm2 0.000 0.331 0.500
Tm1 0.000 0.500 0.000
S1 0.244 0.336 0.239
S2 0.248 0.500 0.759
# Formation energy (no corrections)   -46.33 kcal/mol of atoms
# Fermi-level density of states   10.34 states/eV per cell